Record 1
PBE ZnFe2Bi, relaxed; ΔE to the lowest computed polymorph = 56 meV per atom
1.0
-1.9516 -3.2138 1.4765
3.1906 -0.8722 2.3188
-2.7905 3.0663 8.5116
Bi Zn Fe
2 2 4
Cartesian
0.0000 0.0000 0.0000 Bi
-2.0613 -1.0953 5.9429 Bi
0.5098 0.0756 6.3640 Zn
0.6195 -2.0430 1.8976 Zn
-1.2506 -1.2094 9.5288 Fe
-1.3864 0.7014 7.9827 Fe
-1.3706 -1.1074 3.2286 Fe
0.9046 -0.4239 3.8736 Fe

Record 2
PBE ZnFe3Bi, relaxed; ΔE to the lowest computed polymorph = 0 meV per atom
1.0
-3.2797 -2.8584 -1.1867
-0.8833 -0.7926 4.3505
-2.9662 3.3965 0.0166
Fe Zn Bi
3 1 1
Cartesian
-1.6398 -1.4292 -0.5933 Fe
-1.4831 1.6983 0.0083 Fe
-0.4417 -0.3963 2.1752 Fe
0.0000 0.0000 0.0000 Zn
-3.5646 -0.1273 1.5902 Bi

Record 3
A relaxed ZnFeBi crystal, computed with PBE.

POSCAR file:
```
ZnFeBi
1.0
-1.9665 -3.5967 -2.0674
1.4891 -1.3767 -4.1189
2.2987 -3.9534 -0.4063
Fe Zn Bi
1 1 1
Cartesian
0.9106 -4.4634 -3.2963 Fe
0.0000 0.0000 0.0000 Zn
0.4553 -2.2317 -1.6482 Bi
```

Record 4
PBE ZnFe2Bi, relaxed; ΔE to the lowest computed polymorph = 0 meV per atom
1.0
4.3413 -0.0193 0.2128
2.1269 3.5529 1.3214
1.9865 0.0318 3.8659
Fe Zn Bi
2 1 1
Cartesian
2.1137 0.8913 1.3500 Fe
6.3410 2.6740 4.0501 Fe
0.0000 0.0000 0.0000 Zn
4.2274 1.7827 2.7001 Bi

no.,size of the total moment (μB/f.u.),raw total energy (eV per cell)
1,4.9,-39.3
2,8.3,-25.9
3,2.8,-11.5
4,0.1,-19.9